Here is BaNp3P4N12 after structural relaxation from Alexandria via LeMat-Bulk. Energies are from GGA-PBE.

a = 6.9605 Å, b = 6.9605 Å, c = 6.9605 Å
α = 103.19°, β = 103.19°, γ = 103.19°
With the nearest neighbours (Å) after each atom.
Sites, in units of the cell vectors:
Ba: 0.0000 0.0000 0.0000  6 N 2.84
Np: 0.0000 0.5536 0.4464  6 N 2.18-2.33
Np: 0.4464 0.0000 0.5536  6 N 2.18-2.33
Np: 0.5536 0.4464 0.0000  6 N 2.18-2.33
P: 0.0568 0.5000 0.9432  3 N 1.57-1.60
P: 0.5000 0.5000 0.5000  3 N 1.59
P: 0.5000 0.9432 0.0568  3 N 1.57-1.60
P: 0.9432 0.0568 0.5000  3 N 1.57-1.60
N: 0.0254 0.6161 0.7745  1 P 1.57
N: 0.0902 0.9098 0.5000  1 P 1.60
N: 0.2255 0.3839 0.9746  1 P 1.57
N: 0.3543 0.6457 0.5000  1 P 1.59
N: 0.3839 0.9746 0.2255  1 P 1.57
N: 0.5000 0.0902 0.9098  1 P 1.60
N: 0.5000 0.3543 0.6457  1 P 1.59
N: 0.6161 0.7745 0.0254  1 P 1.57
N: 0.6457 0.5000 0.3543  1 P 1.59
N: 0.7745 0.0254 0.6161  1 P 1.57
N: 0.9098 0.5000 0.0902  1 P 1.60
N: 0.9746 0.2255 0.3839  1 P 1.57

Properties
symmetry = No. 155
D(E_F) = 21.40 states/eV/f.u.
final energy = -8.710 eV/atom
formation energy (no corrections) = -0.595 eV/atom